Computed, not measured: a geometry-optimized LiAcZrIr structure at the PBE level of DFT.

Structure (POSCAR):
```
LiAcZrIr
1.0
5.026 0.000 0.000
2.513 4.352 0.000
2.513 1.451 4.104
Ac Ir Zr Li
1 1 1 1
Direct
0.250 0.250 0.250
0.000 0.000 0.000
0.750 0.750 0.750
0.500 0.500 0.500
```

Calculated values
density: 9.6 g cm⁻³
volume: 89.8 Å³/cell
calculated formation energy: -0.124 eV/atom

Computed, not measured: a geometry-optimized CsK2CuCl5 structure at the PBE level of DFT.

Structure (POSCAR):
```
CsK2CuCl5
1.0
8.773 0.000 0.000
0.000 8.773 0.000
-4.386 -4.386 7.205
Cl K Cu Cs
10 4 2 2
Direct
0.282 0.782 0.291
0.500 0.500 0.000
0.218 0.991 0.709
0.509 0.282 0.291
0.009 0.509 0.291
0.991 0.491 0.709
0.718 0.218 0.709
0.782 0.009 0.291
0.491 0.718 0.709
0.000 0.000 0.000
0.333 0.833 0.000
0.167 0.333 0.000
0.833 0.667 0.000
0.667 0.167 0.000
0.750 0.250 0.500
0.250 0.750 0.500
0.250 0.250 0.500
0.750 0.750 0.500
```

Calculated values
density: 2.7 g cm⁻³
volume: 554.5 Å³/cell
energy relative to the elements, uncorrected: -1.476 eV/atom

Computed, not measured: a geometry-optimized Cs2CdI3Cl structure at the PBE level of DFT.

Structure (POSCAR):
```
Cs2CdI3Cl
1.0
-5.403 -0.902 0.909
1.228 -5.627 1.719
3.107 6.243 7.707
I Cs Cl Cd
3 2 1 1
Direct
0.155 0.155 0.311
0.000 0.500 0.000
0.845 0.845 0.689
0.362 0.362 0.724
0.638 0.638 0.276
0.500 0.000 0.000
0.000 0.000 0.000
```

Calculated values
density: 4.1 g cm⁻³
volume: 318.9 Å³/cell
energy relative to the elements, uncorrected: -1.250 eV/atom

Computed, not measured: a geometry-optimized AgRh2 structure at the PBE level of DFT.

Structure (POSCAR):
```
AgRh2
1.0
4.597 0.000 0.000
0.000 4.597 0.000
0.000 0.000 2.718
Rh Ag
2 1
Direct
0.000 0.500 0.500
0.500 0.000 0.500
0.000 0.000 0.000
```

Calculated values
density: 9.1 g cm⁻³
volume: 57.4 Å³/cell
excess energy over the best structure of this formula in the dataset: 906 meV per atom
calculated formation energy: 1.065 eV/atom